1.
The following is a DFT calculation (PBE) of an optimized crystal structure of PmHgPO.

Lattice parameters (Å, degrees): 4.1716 6.1056 6.8306 90.00 90.00 90.00
With the nearest neighbours (Å) after each atom.
Space group Pmc2_1 (No. 26)
Asymmetric unit:
1 Pm 0.0000 0.0628 0.0000 x2  2 O 2.23-2.25
2 Hg 0.5000 0.4357 0.4200 x2  2 P 2.49-2.51, 2 O 2.60
3 P 0.5000 0.2161 0.7310 x2  2 Hg 2.49-2.51
4 O 0.0000 0.2241 0.2930 x2  2 Pm 2.23-2.25

---

2.
The following is a DFT calculation (PBE) of an optimized crystal structure of PrNiSnAsPd.

Lattice parameters (Å, degrees): 4.4490 4.4490 10.0238 90.00 90.00 90.00
With the nearest neighbours (Å) after each atom.
Space group P4/nmm (No. 129, origin choice 2)
Asymmetric unit:
1 Pr 0.2500 0.2500 0.2281 x2  4 As 3.19, 5 Ni 3.23-3.42, 4 Sn 3.37, 4 Pd 3.52
2 Ni 0.2500 0.2500 0.9057 x2  4 As 2.42, 1 Sn 2.56
3 Sn 0.2500 0.2500 0.6508 x2  1 Ni 2.56, 4 Pd 2.69
4 As 0.2500 0.7500 0.0000 x2  4 Ni 2.42
5 Pd 0.2500 0.7500 0.5000 x2  4 Sn 2.69

---

Computed values of distance to the lowest polymorph of the same formula (unit: eV/atom) for the preceding records, in sequence: 0.284; 0.009.